MgC2: relaxed, PBE.

## Properties
SG: P4_2/mnm (136)
energy of formation: 2.9751 eV per atom

a b c (Å): 5.729 5.729 2.448
angles (deg): 90.00 90.00 90.00
Each line ends with the local moment (μB).
Element x y z (fractional)
Mg (0.500, 0.500, 0.000)  0.01
Mg (0.000, 0.000, 0.500)  0.01
C (0.768, 0.768, 0.000)  0.06
C (0.232, 0.232, 0.000)  0.06
C (0.268, 0.732, 0.500)  0.06
C (0.732, 0.268, 0.500)  0.06


MgC2: relaxed, PBE.

## Properties
SG: P6_3/mmc (194)
energy of formation: 0.4966 eV per atom

a b c (Å): 2.605 2.605 10.908
angles (deg): 90.00 90.00 120.00
Element x y z (fractional)
Mg (0.333, 0.667, 0.750)
Mg (0.667, 0.333, 0.250)
C (0.333, 0.667, 0.498)
C (0.667, 0.333, 0.998)
C (0.667, 0.333, 0.502)
C (0.333, 0.667, 0.002)


MgC: relaxed, PBE.

## Properties
SG: P6_3/mmc (194)
energy of formation: 0.5509 eV per atom

a b c (Å): 2.642 2.642 22.678
angles (deg): 90.00 90.00 120.00
Element x y z (fractional)
Mg (0.333, 0.667, 0.064)
Mg (0.667, 0.333, 0.564)
Mg (0.667, 0.333, 0.936)
Mg (0.333, 0.667, 0.436)
C (0.000, 0.000, 0.250)
C (0.000, 0.000, 0.750)
C (0.333, 0.667, 0.750)
C (0.667, 0.333, 0.250)


| no. | ρ (g/cm³) | relative energy among the computed polymorphs (eV per atom) |
| --- | --- | --- |
| 1 | 2.0 | 2.5453 |
| 2 | 2.5 | 0.0669 |
| 3 | 1.8 | 0.2509 |